# 1
10
Lattice="-5.0890 5.0890 3.1428 5.0890 -5.0890 3.1428 5.0890 5.0890 -3.1428" Properties=species:S:1:pos:R:3 comment="LaDy5Er4 GGA-PBE relaxed" relative_energy_kj_per_mol_atoms=11.3 n_ef_per_ev_cell=14.19 delta_e_f_kj_per_mol_fu=295 pbc="T T T"
La 0.0000 0.0000 0.0000
Dy 0.0000 0.0000 2.8761
Dy 6.5624 2.6970 1.4152
Dy 2.6970 3.6156 1.4152
Dy 2.3920 1.4734 4.5581
Dy -1.4734 2.3920 4.5581
Er 6.6065 -0.5257 1.4554
Er 3.5716 0.5257 1.4554
Er -0.5257 3.5716 1.4554
Er 0.5257 6.6065 1.4554

=====

# 2
4
Lattice="4.4512 -1.3448 0.0000 4.4512 1.3448 0.0000 -0.8086 0.0000 4.5887" Properties=species:S:1:pos:R:3 comment="NiRu2Pt GGA-PBE relaxed" relative_energy_kj_per_mol_atoms=4.2 n_ef_per_ev_cell=5.18 delta_e_f_kj_per_mol_fu=18 pbc="T T T"
Ni 0.0000 0.0000 0.0000
Ru 4.0326 0.0000 2.1863
Ru 6.4535 0.0000 1.1696
Pt 1.6112 0.0000 3.4842